Density functional theory data (PBE+U) for a relaxed CdCoAsO crystal.

a b c (Å): 4.0200 4.0200 7.6316
angles (deg): 90.00 90.00 90.00
With the nearest neighbours (Å) after each atom.
Space group P4/nmm (No. 129, origin choice 2)
Unique sites:
Cd: 0.2500 0.2500 0.1239  4 O 2.22
Co: 0.2500 0.7500 0.5000  4 As 2.29
As: 0.2500 0.2500 0.6450  4 Co 2.29
O: 0.2500 0.7500 0.0000  4 Cd 2.22

Results
The energy above the most stable polymorph in this dataset is 27.1 kJ/mol of atoms. The uncorrected energy comes out at -31.82 eV per cell. The theoretical density is 7.06 g cm⁻³.